Material: CaPm12Sm5
Method: DFT, PBE
State: optimized geometry

Cell lengths 11.732, 17.588, 6.048 Å; angles 90.00, 90.59, 90.00 degrees
Space group C2/m (No. 12)
Asymmetric unit:
1 Ca 0.000 0.000 0.000 (multiplicity 2)
2 Pm 0.152 0.500 0.977 (multiplicity 4)
3 Pm 0.173 0.000 0.520 (multiplicity 4)
4 Pm 0.177 0.335 0.559 (multiplicity 8)
5 Pm 0.181 0.161 0.943 (multiplicity 8)
6 Sm 0.000 0.172 0.500 (multiplicity 4)
7 Sm 0.000 0.320 0.000 (multiplicity 4)
8 Sm 0.000 0.500 0.500 (multiplicity 2)

Formation energy from the elements ... 0.11 eV per atom
E ... -161.16 eV per cell

***

Material: CaPm4Sm7
Method: DFT, PBE
State: optimized geometry

Cell lengths 6.372, 7.356, 9.099 Å; angles 89.92, 76.54, 89.98 degrees
Space group P-1 (No. 2)
Asymmetric unit:
1 Ca 0.000 0.000 0.000 (multiplicity 1)
2 Pm 0.220 0.500 0.330 (multiplicity 2)
3 Pm 0.282 0.253 0.665 (multiplicity 2)
4 Sm 0.000 0.500 0.000 (multiplicity 1)
5 Sm 0.226 0.000 0.340 (multiplicity 2)
6 Sm 0.282 0.746 0.665 (multiplicity 2)
7 Sm 0.500 0.255 0.000 (multiplicity 2)

Formation energy from the elements ... 0.03 eV per atom
Offset from the most stable computed form ... 0.0 meV per atom
E ... -53.67 eV per cell

***

Material: CaPm2Sm
Method: DFT, PBE
State: optimized geometry

Cell lengths 3.6756, 3.6756, 36.5884 Å; angles 90.00, 90.00, 120.00 degrees
Space group R3m (No. 160, hexagonal axes)
Asymmetric unit:
1 Ca 0.0000 0.0000 0.0000 (multiplicity 3)
2 Pm 0.0000 0.0000 0.5790 (multiplicity 3)
3 Pm 0.0000 0.0000 0.7535 (multiplicity 3)
4 Sm 0.0000 0.0000 0.1660 (multiplicity 3)

Formation energy from the elements ... 0.04 eV per atom
Offset from the most stable computed form ... 1.9 meV per atom
E ... -48.17 eV per cell